# CaNi3Ag

CaNi3Ag after structural relaxation (PBE-GGA, Alexandria via LeMat-Bulk).

energy relative to the elements: 7.06 eV per formula unit
N(E_F): 3.14 states/eV/f.u.
energy relative to the lowest polymorph listed for this composition: 59.8 kJ/mol of atoms
magnetic moment: 0.00 μB/f.u.
symmetry: No. 221

Cell lengths 4.523, 4.523, 4.523 Å; angles 90.00, 90.00, 90.00 degrees
Element x y z (fractional)
Ca: 0.000 0.000 0.000
Ni: 0.000 0.000 0.500
Ni: 0.000 0.500 0.000
Ni: 0.500 0.000 0.000
Ag: 0.500 0.500 0.500